Entry 1:
# ScZnAgSn PBE-GGA optimized geometry
# energy above the most stable polymorph in this dataset	0	meV per atom
# DOS(E_F)	2.1	states/eV/cell
# theoretical density	7.146	Mg/m³
# E_tot	-3.945	eV per atom
data_ScZnAgSn
_chemical_formula_sum 'Sc1 Zn1 Ag1 Sn1'
_cell_length_a 4.219
_cell_length_b 4.232
_cell_length_c 4.385
_cell_angle_alpha 90.00
_cell_angle_beta 90.00
_cell_angle_gamma 90.00
_symmetry_space_group_name_H-M 'P m m m'
_symmetry_Int_Tables_number 47
loop_
_symmetry_equiv_pos_as_xyz
'x,y,z'
'-x,-y,-z'
'-x,-y,z'
'x,y,-z'
'x,-y,-z'
'-x,y,z'
'-x,y,-z'
'x,-y,z'
loop_
_atom_site_label
_atom_site_type_symbol
_atom_site_fract_x
_atom_site_fract_y
_atom_site_fract_z
_atom_site_occupancy
Sc1 Sc 0.000 0.000 0.000 1
Zn1 Zn 0.500 0.000 0.500 1
Ag1 Ag 0.000 0.500 0.500 1
Sn1 Sn 0.500 0.500 0.000 1



Entry 2:
# AcDyPdRh PBE-GGA optimized geometry
# DOS(E_F)	12.3	states/eV/cell
# theoretical density	10.501	Mg/m³
# E_tot	-6.005	eV per atom
data_AcDyPdRh
_chemical_formula_sum 'Ac4 Dy4 Pd4 Rh4'
_cell_length_a 7.235
_cell_length_b 7.235
_cell_length_c 7.235
_cell_angle_alpha 90.00
_cell_angle_beta 90.00
_cell_angle_gamma 90.00
_symmetry_space_group_name_H-M 'F -4 3 m'
_symmetry_Int_Tables_number 216
_symmetry_space_group_name_Hall 'F -4 2 3'
loop_
_atom_site_label
_atom_site_type_symbol
_atom_site_fract_x
_atom_site_fract_y
_atom_site_fract_z
_atom_site_occupancy
Ac1 Ac 0.000 0.000 0.000 1
Dy1 Dy 0.000 0.000 0.500 1
Pd1 Pd 0.250 0.250 0.750 1
Rh1 Rh 0.250 0.250 0.250 1